P | {
  "formula": "ZrTaFe",
  "functional": "GGA-PBE",
  "state": "relaxed",
  "lattice_angstrom": [[6.082, 0.000, 0.000], [0.000, 6.082, 0.000], [0.000, 0.000, 6.082]],
  "species": ["Zr", "Zr", "Zr", "Zr", "Ta", "Ta", "Ta", "Ta", "Fe", "Fe", "Fe", "Fe"],
  "frac_coords": [[0.000, 0.000, 0.000], [0.000, 0.500, 0.500], [0.500, 0.000, 0.500], [0.500, 0.500, 0.000], [0.000, 0.000, 0.500], [0.000, 0.500, 0.000], [0.500, 0.000, 0.000], [0.500, 0.500, 0.500], [0.250, 0.250, 0.750], [0.250, 0.750, 0.250], [0.750, 0.250, 0.250], [0.750, 0.750, 0.750]],
  "vol_a3_per_atom": 18.7
}

Q | {
  "formula": "ZrTaFe",
  "functional": "GGA-PBE",
  "state": "relaxed",
  "lattice_angstrom": [[5.091, -2.106, 0.000], [5.091, 2.106, 0.000], [-2.050, 0.000, 9.779]],
  "species": ["Zr", "Zr", "Zr", "Zr", "Ta", "Ta", "Ta", "Ta", "Fe", "Fe", "Fe", "Fe"],
  "frac_coords": [[0.086, 0.086, 0.159], [0.411, 0.411, 0.349], [0.589, 0.589, 0.651], [0.914, 0.914, 0.841], [0.285, 0.285, 0.615], [0.362, 0.362, 0.037], [0.638, 0.638, 0.963], [0.715, 0.715, 0.385], [0.094, 0.094, 0.426], [0.177, 0.177, 0.838], [0.823, 0.823, 0.162], [0.906, 0.906, 0.574]],
  "vol_a3_per_atom": 17.5
}

R | {
  "formula": "ZrTaFe",
  "functional": "GGA-PBE",
  "state": "relaxed",
  "lattice_angstrom": [[5.364, 0.000, 0.000], [0.000, 5.542, 0.000], [0.000, 0.000, 6.935]],
  "species": ["Zr", "Zr", "Zr", "Zr", "Ta", "Ta", "Ta", "Ta", "Fe", "Fe", "Fe", "Fe"],
  "frac_coords": [[0.000, 0.250, 0.111], [0.000, 0.750, 0.889], [0.500, 0.250, 0.389], [0.500, 0.750, 0.611], [0.000, 0.000, 0.500], [0.000, 0.500, 0.500], [0.500, 0.000, 0.000], [0.500, 0.500, 0.000], [0.250, 0.250, 0.750], [0.250, 0.750, 0.250], [0.750, 0.250, 0.750], [0.750, 0.750, 0.250]],
  "vol_a3_per_atom": 17.2
}

S | {
  "formula": "ZrTaFe",
  "functional": "GGA-PBE",
  "state": "relaxed",
  "lattice_angstrom": [[4.361, 0.000, 0.000], [-2.180, 3.776, 0.000], [0.000, 0.000, 3.140]],
  "species": ["Zr", "Ta", "Fe"],
  "frac_coords": [[0.000, 0.000, 0.000], [0.333, 0.667, 0.576], [0.667, 0.333, 0.330]],
  "vol_a3_per_atom": 17.2
}

According to the calculations, the structures order from most to least stable as R, Q, S, P.

P | {
  "formula": "TbThFe",
  "functional": "GGA-PBE",
  "state": "relaxed",
  "lattice_angstrom": [[3.866, 0.000, 0.000], [-1.933, 3.348, 0.000], [0.000, 0.000, 6.150]],
  "species": ["Tb", "Th", "Fe"],
  "frac_coords": [[0.000, 0.000, 0.000], [0.667, 0.333, 0.481], [0.333, 0.667, 0.265]],
  "vol_a3_per_atom": 26.5
}

Q | {
  "formula": "TbThFe",
  "functional": "GGA-PBE",
  "state": "relaxed",
  "lattice_angstrom": [[3.594, 0.000, 0.000], [1.775, 6.169, 0.000], [1.787, 1.641, 6.564]],
  "species": ["Tb", "Tb", "Th", "Th", "Fe", "Fe"],
  "frac_coords": [[0.166, 0.239, 0.429], [0.834, 0.761, 0.571], [0.407, 0.286, 0.898], [0.593, 0.714, 0.102], [0.126, 0.921, 0.832], [0.874, 0.079, 0.168]],
  "vol_a3_per_atom": 24.3
}

According to the calculations, the structures order from most to least stable as Q, P.